# 1
Below is a relaxed LaBrCl2 crystal, with properties calculated at the PBE level.

As for the space group: I4/mmm, No. 139. As for the electronic total energy: -4.4503 eV per atom. As for the uncorrected formation energy: -1876.9 meV/atom. The calculation puts the energy relative to the lowest polymorph listed for this composition at 377 meV per atom. The density of states at the Fermi level is 0.0 states/eV/f.u.

The structure in extended XYZ format:
```
8
Lattice="4.729 0.000 0.000 0.000 4.729 0.000 0.000 0.000 8.586" Properties=species:S:1:pos:R:3 pbc="T T T"
La 0.000 0.000 0.000
La 2.365 2.365 4.293
Br 0.000 0.000 4.293
Br 2.365 2.365 0.000
Cl 0.000 2.365 2.146
Cl 0.000 2.365 6.439
Cl 2.365 0.000 2.146
Cl 2.365 0.000 6.439
```

# 2
Below is a relaxed La7Br12Cl crystal, with properties calculated at the PBE level.

As for the space group: R-3, No. 148. As for the electronic total energy: -4.6002 eV per atom. As for the uncorrected formation energy: -1779.5 meV/atom. The density of states at the Fermi level is 3.8 states/eV/f.u.

The structure in extended XYZ format:
```
20
Lattice="7.640 4.411 3.410 -7.640 4.411 3.410 0.000 -8.822 3.410" Properties=species:S:1:pos:R:3 pbc="T T T"
La 0.000 0.000 0.000
La -2.150 -0.570 3.450
La 1.569 -1.577 3.450
La 0.581 2.147 3.450
La -0.581 -2.147 6.779
La -1.569 1.577 6.779
La 2.150 0.570 6.779
Br -0.676 -2.503 1.603
Br -1.829 1.836 1.603
Br -2.976 -3.014 5.065
Br -4.098 1.070 5.165
Br 2.505 0.666 1.603
Br 1.122 -4.084 5.165
Br -1.122 4.084 5.065
Br -2.505 -0.666 8.627
Br 4.098 -1.070 5.065
Br 2.976 3.014 5.165
Br 1.829 -1.836 8.627
Br 0.676 2.503 8.627
Cl 0.000 0.000 5.115
```